## Li2NpNi2O6 (PBE with a Hubbard U)

Data for an optimized crystal structure of Li2NpNi2O6.

Calculated values
SG = C2/m, No. 12
Electronic total energy = -6.658 eV per atom

```
Li2NpNi2O6
1.0
5.329 -0.030 0.080
-2.660 4.618 0.080
-0.892 -1.534 4.954
O Li Np Ni
6 2 1 2
Cartesian
3.187 2.330 1.472 O
0.450 3.922 1.472 O
1.327 -0.868 3.643 O
0.425 0.730 1.447 O
-1.410 0.724 3.643 O
1.352 2.324 3.668 O
-1.022 3.665 0.080 Li
3.691 0.923 0.080 Li
-0.446 -0.767 2.477 Np
-0.438 2.299 2.557 Ni
2.214 0.756 2.557 Ni
```